Entry 1:
Below is crystalline NaHgS2 at its relaxed geometry, with properties calculated at the PBE level.

Results
Space group = I-42d
Total DFT energy (no corrections) = -2.73 eV per atom
Total magnetic moment = 0.0000 μB per atom
Fermi-level density of states = 1.85 states/eV per cell
E_form (uncorrected) = -262 meV per atom

Cell lengths 7.106, 7.106, 6.348 Å; angles 55.97, 55.97, 90.00 degrees
Positions (direct):
1 Na 0.500 0.500 0.000
2 Na 0.250 0.750 0.500
3 S 0.664 0.125 0.250
4 S 0.086 0.625 0.250
5 S 0.375 0.336 0.750
6 S 0.875 0.914 0.750
7 Hg 0.000 0.000 0.000
8 Hg 0.750 0.250 0.500



Entry 2:
Below is crystalline SrLaF2 at its relaxed geometry, with properties calculated at the PBE level.

Results
Space group = I-42d
Total DFT energy (no corrections) = -5.11 eV per atom
Total magnetic moment = 0.5694 μB per atom
Energy relative to the lowest polymorph listed for this composition = 0.227 eV/atom
Fermi-level density of states = 4.16 states/eV per cell
E_form (uncorrected) = -2521 meV per atom

Cell lengths 5.917, 5.917, 7.200 Å; angles 65.74, 65.74, 90.00 degrees
Last column: magnetic moment on the atom in μB.
Positions (direct):
1 Sr 0.500 0.500 0.000  0.14
2 Sr 0.250 0.750 0.500  0.14
3 F 0.627 0.125 0.250  0.05
4 F 0.123 0.625 0.250  0.05
5 F 0.375 0.373 0.750  0.05
6 F 0.875 0.877 0.750  0.05
7 La 0.000 0.000 0.000  0.52
8 La 0.750 0.250 0.500  0.52



Entry 3:
Below is crystalline Ac2TbAg3Sn4 at its relaxed geometry, with properties calculated at the PBE level.

Results
Space group = P-4m2
DFT formation energy = -4.9 eV per formula unit
Total DFT energy (no corrections) = -4.24 eV per atom
Total magnetic moment = 0.0000 μB per atom
Fermi-level density of states = 2.62 states/eV per cell

Cell lengths 4.754, 4.754, 12.315 Å; angles 90.00, 90.00, 90.00 degrees
Positions (direct):
1 Ac 0.500 0.000 0.233
2 Ac 0.000 0.500 0.767
3 Tb 0.500 0.500 0.500
4 Ag 0.000 0.000 0.500
5 Ag 0.500 0.000 0.871
6 Ag 0.000 0.500 0.129
7 Sn 0.500 0.500 0.000
8 Sn 0.000 0.000 0.000
9 Sn 0.500 0.000 0.650
10 Sn 0.000 0.500 0.350



Entry 4:
Below is crystalline Pu2Ni2Au at its relaxed geometry, with properties calculated at the PBE level.

Results
Space group = Cmmm
DFT formation energy = -1.3 eV per formula unit
Total DFT energy (no corrections) = -8.97 eV per atom
Total magnetic moment = 2.1600 μB per atom
Energy relative to the lowest polymorph listed for this composition = 0.000 eV/atom
Fermi-level density of states = 20.22 states/eV per cell

Cell lengths 3.699, 3.975, 6.950 Å; angles 106.62, 90.00, 90.00 degrees
Last column: magnetic moment on the atom in μB.
Positions (direct):
1 Pu 0.500 0.631 0.261  5.24
2 Pu 0.500 0.369 0.739  5.24
3 Ni 0.000 0.198 0.396  -0.21
4 Ni 0.000 0.802 0.604  -0.21
5 Au 0.000 0.000 0.000  0.04



Entry 5:
Below is crystalline HoMgScCu at its relaxed geometry, with properties calculated at the PBE level.

Results
Space group = P4mm
DFT formation energy = -0.6 eV per formula unit
Total DFT energy (no corrections) = -4.30 eV per atom
Total magnetic moment = 0.0000 μB per atom
Energy relative to the lowest polymorph listed for this composition = 0.000 eV/atom
Fermi-level density of states = 3.35 states/eV per cell

Cell lengths 3.367, 3.367, 7.835 Å; angles 90.00, 90.00, 90.00 degrees
Positions (direct):
1 Ho 0.500 0.500 0.782
2 Mg 0.000 0.000 0.087
3 Sc 0.500 0.500 0.365
4 Cu 0.000 0.000 0.550



Entry 6:
Below is crystalline InS2BrN at its relaxed geometry, with properties calculated at the PBE level.

Results
Space group = P4/mmm
Total DFT energy (no corrections) = -3.07 eV per atom
Total magnetic moment = 0.9607 μB per atom
Energy relative to the lowest polymorph listed for this composition = 0.000 eV/atom
Fermi-level density of states = 4.71 states/eV per cell
E_form (uncorrected) = 1124 meV per atom

Cell lengths 5.269, 5.269, 4.327 Å; angles 90.00, 90.00, 90.00 degrees
Last column: magnetic moment on the atom in μB.
Positions (direct):
1 S 0.000 0.500 0.000  0.72
2 S 0.500 0.000 0.000  0.72
3 N 0.000 0.000 0.500  1.20
4 Br 0.500 0.500 0.500  0.64
5 In 0.000 0.000 0.000  -0.04



Entry 7:
Below is crystalline BaLa3Ir at its relaxed geometry, with properties calculated at the PBE level.

Results
Space group = I-4m2
DFT formation energy = 0.0 eV per formula unit
Total DFT energy (no corrections) = -5.11 eV per atom
Total magnetic moment = 0.0000 μB per atom
Energy relative to the lowest polymorph listed for this composition = 0.319 eV/atom
Fermi-level density of states = 12.53 states/eV per cell

Cell lengths 6.443, 6.443, 10.722 Å; angles 72.52, 72.52, 90.00 degrees
Positions (direct):
1 Ir 0.000 0.000 0.000
2 Ir 0.250 0.750 0.500
3 Ba 0.555 0.055 0.891
4 Ba 0.945 0.445 0.109
5 La 0.627 0.875 0.249
6 La 0.125 0.373 0.751
7 La 0.125 0.876 0.751
8 La 0.124 0.875 0.249
9 La 0.279 0.279 0.442
10 La 0.721 0.721 0.558



Entry 8:
Below is crystalline RbCu2Br7 at its relaxed geometry, with properties calculated at the PBE level.

Results
Space group = Cmmm
Total DFT energy (no corrections) = -2.52 eV per atom
Total magnetic moment = 0.0000 μB per atom
Fermi-level density of states = 4.81 states/eV per cell
E_form (uncorrected) = -434 meV per atom

Cell lengths 4.235, 7.859, 10.585 Å; angles 111.79, 90.00, 90.00 degrees
Positions (direct):
1 Rb 0.000 0.000 0.000
2 Cu 0.500 0.625 0.250
3 Cu 0.500 0.375 0.750
4 Br 0.000 0.683 0.365
5 Br 0.000 0.317 0.635
6 Br 0.500 0.703 0.740
7 Br 0.500 0.297 0.260
8 Br 0.500 0.962 0.260
9 Br 0.500 0.038 0.740
10 Br 0.500 0.500 0.000



Entry 9:
Below is crystalline Mg5Zn4Cd at its relaxed geometry, with properties calculated at the PBE level.

Results
Space group = P4/mmm
DFT formation energy = -0.7 eV per formula unit
Total DFT energy (no corrections) = -1.47 eV per atom
Total magnetic moment = 0.0000 μB per atom
Fermi-level density of states = 2.78 states/eV per cell

Cell lengths 3.372, 3.372, 16.492 Å; angles 90.00, 90.00, 90.00 degrees
Positions (direct):
1 Mg 0.500 0.500 0.115
2 Mg 0.500 0.500 0.308
3 Mg 0.500 0.500 0.500
4 Mg 0.500 0.500 0.692
5 Mg 0.500 0.500 0.885
6 Zn 0.000 0.000 0.214
7 Zn 0.000 0.000 0.403
8 Zn 0.000 0.000 0.597
9 Zn 0.000 0.000 0.786
10 Cd 0.000 0.000 0.000



Entry 10:
Below is crystalline Sm7CdIn4 at its relaxed geometry, with properties calculated at the PBE level.

Results
Space group = C2/m
DFT formation energy = -2.4 eV per formula unit
Total DFT energy (no corrections) = -3.94 eV per atom
Total magnetic moment = 0.0000 μB per atom
Fermi-level density of states = 15.43 states/eV per cell

Cell lengths 5.879, 9.315, 7.899 Å; angles 67.04, 68.16, 71.61 degrees
Positions (direct):
1 Sm 0.812 0.873 0.503
2 Sm 0.188 0.127 0.497
3 Sm 0.078 0.585 0.259
4 Sm 0.922 0.415 0.741
5 Sm 0.244 0.723 0.789
6 Sm 0.500 0.000 0.000
7 Sm 0.756 0.277 0.211
8 Cd 0.000 0.000 0.000
9 In 0.536 0.317 0.611
10 In 0.464 0.683 0.389
11 In 0.679 0.657 0.985
12 In 0.321 0.343 0.015